(1)
# Ta2TlIn | Alexandria | GGA-PBE | relaxed
# Calculated volume in Å³/cell: 163
# Formation enthalpy at 0 K in eV per formula unit: 1.74
# Energy above the lowest structure with this stoichiometry in eV/atom: 0.111
data_Ta2TlIn
_chemical_formula_sum 'Ta4 Tl2 In2'
_cell_length_a 10.058
_cell_length_b 3.080
_cell_length_c 5.346
_cell_angle_alpha 90.00
_cell_angle_beta 99.90
_cell_angle_gamma 90.00
_space_group_name_H-M_alt 'C 1 2/m 1'
_space_group_IT_number 12
loop_
_space_group_symop_operation_xyz
'x,y,z'
'-x,-y,-z'
'-x,y,-z'
'x,-y,z'
'x+1/2,y+1/2,z'
'-x+1/2,-y+1/2,-z'
'-x+1/2,y+1/2,-z'
'x+1/2,-y+1/2,z'
loop_
_atom_site_label
_atom_site_fract_x
_atom_site_fract_y
_atom_site_fract_z
Ta1 0.249 0.000 0.246
Tl1 0.000 0.000 0.500
In1 0.000 0.500 0.000

(2)
# PmSc2Tl | Alexandria | GGA-PBE | relaxed
# Calculated volume in Å³/cell: 343
# Formation enthalpy at 0 K in eV per formula unit: 0.04
# Energy above the lowest structure with this stoichiometry in eV/atom: 0.196
data_PmSc2Tl
_chemical_formula_sum 'Pm3 Sc6 Tl3'
_cell_length_a 4.9299
_cell_length_b 4.9299
_cell_length_c 16.3072
_cell_angle_alpha 90.00
_cell_angle_beta 90.00
_cell_angle_gamma 120.00
_space_group_name_H-M_alt 'R 3 m'
_space_group_IT_number 160
_space_group_name_Hall 'R 3 -2"'
loop_
_atom_site_label
_atom_site_fract_x
_atom_site_fract_y
_atom_site_fract_z
Pm1 0.0000 0.0000 0.0000
Sc1 0.0000 0.0000 0.5482
Sc2 0.0000 0.0000 0.7854
Tl1 0.0000 0.0000 0.2117

(3)
# HoHfPb2 | Alexandria | GGA-PBE | relaxed
# Calculated volume in Å³/cell: 351
# Formation enthalpy at 0 K in eV per formula unit: -0.03
# Energy above the lowest structure with this stoichiometry in eV/atom: 0.122
data_HoHfPb2
_chemical_formula_sum 'Ho3 Hf3 Pb6'
_cell_length_a 4.5900
_cell_length_b 4.5900
_cell_length_c 19.2605
_cell_angle_alpha 90.00
_cell_angle_beta 90.00
_cell_angle_gamma 120.00
_space_group_name_H-M_alt 'R 3 m'
_space_group_IT_number 160
_space_group_name_Hall 'R 3 -2"'
loop_
_atom_site_label
_atom_site_fract_x
_atom_site_fract_y
_atom_site_fract_z
Ho1 0.0000 0.0000 0.0000
Hf1 0.0000 0.0000 0.8220
Pb1 0.0000 0.0000 0.4160
Pb2 0.0000 0.0000 0.5764

(4)
# Ni12Mo3Pt4 | Alexandria | GGA-PBE | relaxed
# Calculated volume in Å³/cell: 688
# Formation enthalpy at 0 K in eV per formula unit: 11.26
data_Ni12Mo3Pt4
_chemical_formula_sum 'Ni24 Mo6 Pt8'
_cell_length_a 8.827
_cell_length_b 8.827
_cell_length_c 8.827
_cell_angle_alpha 90.00
_cell_angle_beta 90.00
_cell_angle_gamma 90.00
_space_group_name_H-M_alt 'I m -3'
_space_group_IT_number 204
_space_group_name_Hall '-I 2 2 3'
loop_
_atom_site_label
_atom_site_fract_x
_atom_site_fract_y
_atom_site_fract_z
Ni1 0.000 0.364 0.262
Mo1 0.000 0.000 0.500
Pt1 0.250 0.250 0.250

(5)
# NbAlZnNi | Alexandria | GGA-PBE | relaxed
# Calculated volume in Å³/cell: 232
# Formation enthalpy at 0 K in eV per formula unit: -0.63
data_NbAlZnNi
_chemical_formula_sum 'Nb4 Al4 Zn4 Ni4'
_cell_length_a 6.144
_cell_length_b 6.144
_cell_length_c 6.144
_cell_angle_alpha 90.00
_cell_angle_beta 90.00
_cell_angle_gamma 90.00
_space_group_name_H-M_alt 'F -4 3 m'
_space_group_IT_number 216
_space_group_name_Hall 'F -4 2 3'
loop_
_atom_site_label
_atom_site_fract_x
_atom_site_fract_y
_atom_site_fract_z
Nb1 0.000 0.000 0.000
Al1 0.000 0.000 0.500
Zn1 0.250 0.250 0.750
Ni1 0.250 0.250 0.250

(6)
# BaZr2Co | Alexandria | GGA-PBE | relaxed
# Calculated volume in Å³/cell: 187
# Formation enthalpy at 0 K in eV per formula unit: 3.08
# Energy above the lowest structure with this stoichiometry in eV/atom: 0.608
data_BaZr2Co
_chemical_formula_sum 'Ba2 Zr4 Co2'
_cell_length_a 4.199
_cell_length_b 4.199
_cell_length_c 10.613
_cell_angle_alpha 90.00
_cell_angle_beta 90.00
_cell_angle_gamma 90.00
_space_group_name_H-M_alt 'I 4/m m m'
_space_group_IT_number 139
_space_group_name_Hall '-I 4 2'
loop_
_atom_site_label
_atom_site_fract_x
_atom_site_fract_y
_atom_site_fract_z
Ba1 0.000 0.000 0.000
Zr1 0.000 0.500 0.250
Co1 0.000 0.000 0.500

(7)
# Pm4Er3Mg | Alexandria | GGA-PBE | relaxed
# Calculated volume in Å³/cell: 253
# Formation enthalpy at 0 K in eV per formula unit: -0.05
data_Pm4Er3Mg
_chemical_formula_sum 'Pm4 Er3 Mg1'
_cell_length_a 3.611
_cell_length_b 3.611
_cell_length_c 19.414
_cell_angle_alpha 90.00
_cell_angle_beta 90.00
_cell_angle_gamma 90.00
_space_group_name_H-M_alt 'P 4/m m m'
_space_group_IT_number 123
_space_group_name_Hall '-P 4 2'
loop_
_atom_site_label
_atom_site_fract_x
_atom_site_fract_y
_atom_site_fract_z
Pm1 0.000 0.000 0.115
Pm2 0.000 0.000 0.372
Er1 0.500 0.500 0.242
Er2 0.500 0.500 0.500
Mg1 0.500 0.500 0.000

(8)
# DyNi2Ir4 | Alexandria | GGA-PBE | relaxed
# Calculated volume in Å³/cell: 215
# Formation enthalpy at 0 K in eV per formula unit: -1.46
data_DyNi2Ir4
_chemical_formula_sum 'Dy2 Ni4 Ir8'
_cell_length_a 4.927
_cell_length_b 6.595
_cell_length_c 6.605
_cell_angle_alpha 90.00
_cell_angle_beta 90.00
_cell_angle_gamma 90.00
_space_group_name_H-M_alt 'I m m m'
_space_group_IT_number 71
_space_group_name_Hall '-I 2 2'
loop_
_atom_site_label
_atom_site_fract_x
_atom_site_fract_y
_atom_site_fract_z
Dy1 0.000 0.000 0.000
Ni1 0.250 0.000 0.500
Ir1 0.000 0.304 0.304

(9)
# PrPa2Ga | Alexandria | GGA-PBE | relaxed
# Calculated volume in Å³/cell: 100
# Formation enthalpy at 0 K in eV per formula unit: 0.04
# Energy above the lowest structure with this stoichiometry in eV/atom: 0.000
data_PrPa2Ga
_chemical_formula_sum 'Pr1 Pa2 Ga1'
_cell_length_a 4.438
_cell_length_b 4.438
_cell_length_c 5.067
_cell_angle_alpha 90.00
_cell_angle_beta 90.00
_cell_angle_gamma 90.00
_space_group_name_H-M_alt 'P 4/m m m'
_space_group_IT_number 123
_space_group_name_Hall '-P 4 2'
loop_
_atom_site_label
_atom_site_fract_x
_atom_site_fract_y
_atom_site_fract_z
Pr1 0.000 0.000 0.000
Pa1 0.000 0.500 0.500
Ga1 0.500 0.500 0.000

(10)
# Ca2IrAu | Alexandria | GGA-PBE | relaxed
# Calculated volume in Å³/cell: 88
# Formation enthalpy at 0 K in eV per formula unit: -2.02
data_Ca2IrAu
_chemical_formula_sum 'Ca2 Ir1 Au1'
_cell_length_a 3.432
_cell_length_b 3.432
_cell_length_c 7.438
_cell_angle_alpha 90.00
_cell_angle_beta 90.00
_cell_angle_gamma 90.00
_space_group_name_H-M_alt 'P 4/m m m'
_space_group_IT_number 123
_space_group_name_Hall '-P 4 2'
loop_
_atom_site_label
_atom_site_fract_x
_atom_site_fract_y
_atom_site_fract_z
Ca1 0.000 0.000 0.229
Ir1 0.500 0.500 0.000
Au1 0.500 0.500 0.500

(11)
# ReIrAu2 | Alexandria | GGA-PBE | relaxed
# Calculated volume in Å³/cell: 66
# Formation enthalpy at 0 K in eV per formula unit: 0.49
# Energy above the lowest structure with this stoichiometry in eV/atom: 0.000
data_ReIrAu2
_chemical_formula_sum 'Re1 Ir1 Au2'
_cell_length_a 2.823
_cell_length_b 2.823
_cell_length_c 8.222
_cell_angle_alpha 90.00
_cell_angle_beta 90.00
_cell_angle_gamma 90.00
_space_group_name_H-M_alt 'P 4 m m'
_space_group_IT_number 99
loop_
_space_group_symop_operation_xyz
'x,y,z'
'-y,x,z'
'-x,-y,z'
'y,-x,z'
'-x,y,z'
'y,x,z'
'x,-y,z'
'-y,-x,z'
loop_
_atom_site_label
_atom_site_fract_x
_atom_site_fract_y
_atom_site_fract_z
Re1 0.000 0.000 0.000
Ir1 0.500 0.500 0.794
Au1 0.000 0.000 0.529
Au2 0.500 0.500 0.256

(12)
# Pu3H4Rh2 | Alexandria | GGA-PBE | relaxed
# Calculated volume in Å³/cell: 252
data_Pu3H4Rh2
_chemical_formula_sum 'Pu6 H8 Rh4'
_cell_length_a 4.025
_cell_length_b 6.748
_cell_length_c 9.291
_cell_angle_alpha 90.00
_cell_angle_beta 90.00
_cell_angle_gamma 90.00
_space_group_name_H-M_alt 'I m m m'
_space_group_IT_number 71
_space_group_name_Hall '-I 2 2'
loop_
_atom_site_label
_atom_site_fract_x
_atom_site_fract_y
_atom_site_fract_z
Pu1 0.000 0.000 0.000
Pu2 0.000 0.500 0.193
H1 0.000 0.193 0.313
Rh1 0.000 0.221 0.500

Uncorrected energy, record by record: -54.14; -59.21; -65.92; -229.55; -86.00; -46.10; -34.33; -106.14; -26.76; -18.16; -27.38; -149.23 eV per cell